Entry from the Alexandria database: an optimized crystal structure of EuTh2Np (PBE).

Summary:
Its total magnetic moment is 7.7 μB per cell. The formation energy is 0.70 eV/atom. The calculation puts the total energy at -0.647 Ry/atom. Its space-group type is R-3m.

Cell lengths 10.110, 10.110, 10.110 Å; angles 22.06, 22.06, 22.06 degrees
Element x y z (fractional)
Eu (0.000, 0.000, 0.000)
Th (0.223, 0.223, 0.223)
Th (0.777, 0.777, 0.777)
Np (0.500, 0.500, 0.500)